A relaxed Sm2In crystal, computed with PBE.

Cell: 9.000 9.000 9.000 Å, 90.00 90.00 90.00°
Space group Fd-3m (No. 227, origin choice 2)
Asymmetric unit:
Sm 0.000 0.000 0.000 [16 per cell]
In 0.125 0.125 0.625 [8 per cell]

Summary:
Crystal system   cubic
M_tot   0.0023 μB per atom
DFT total energy   -3.939 eV per atom

A relaxed CsMgNbPd crystal, computed with PBE.

Cell: 7.027 7.027 7.027 Å, 90.00 90.00 90.00°
Space group F-43m (No. 216)
Asymmetric unit:
Cs 0.000 0.000 0.000 [4 per cell]
Mg 0.250 0.250 0.750 [4 per cell]
Nb 0.250 0.250 0.250 [4 per cell]
Pd 0.000 0.000 0.500 [4 per cell]

Summary:
Crystal system   cubic
M_tot   0.0019 μB per atom
DFT total energy   -3.450 eV per atom